Entry 1:
This record from Alexandria describes crystalline ZrTa3V8 at its relaxed geometry. The functional is PBE.

Structure (POSCAR):
```
ZrTa3V8
1.0
5.104 0.000 0.000
-2.552 4.420 0.000
0.000 0.000 8.233
Zr Ta V
1 3 8
Cartesian
0.000 0.000 0.000 Zr
0.000 0.000 3.125 Ta
2.552 1.473 4.122 Ta
2.552 1.473 7.159 Ta
0.000 1.449 5.622 V
-1.297 3.696 5.622 V
0.000 2.947 3.608 V
0.000 2.947 7.711 V
2.552 0.031 1.582 V
1.303 2.195 1.582 V
1.297 3.696 5.622 V
3.801 2.195 1.582 V
```

---

Entry 2:
This record from Alexandria describes crystalline ZnGa2Pb at its relaxed geometry. The functional is PBE.

Structure (POSCAR):
```
ZnGa2Pb
1.0
2.173 1.255 5.472
-2.173 1.255 5.472
0.000 -2.510 5.472
Zn Ga Pb
1 2 1
Cartesian
0.000 0.000 0.000 Zn
0.000 0.000 4.637 Ga
0.000 0.000 11.780 Ga
0.000 0.000 8.208 Pb
```

Properties
- Offset from the most stable computed form: 6 meV/atom

---

Number 1: DFT total energy -9.83 eV per atom, magnetization 0.000 μB/atom. Number 2: DFT total energy -2.67 eV per atom, magnetization 0.000 μB/atom.